# 1
! CaScIr4 PBEsol relaxed; values from VASP
&SYSTEM
  ibrav = 0, nat = 6, ntyp = 3
/
ATOMIC_SPECIES
Sc 44.96 Sc.upf
Ca 40.08 Ca.upf
Ir 192.22 Ir.upf
ATOMIC_POSITIONS angstrom
Sc -4.6958 2.5478 7.9969
Ca 0.0000 0.0000 0.0000
Ir -2.3486 1.2743 3.9997
Ir -2.3807 1.0883 6.6080
Ir -3.1640 3.2956 5.4448
Ir -4.6287 1.1360 5.2727
CELL_PARAMETERS angstrom
-1.6323 4.0463 2.8928
-4.5645 -0.2768 2.5484
-0.0643 -0.3724 5.2214
! Magnetic moment, μB per cell: 0.00
! D(E_F), states/eV per cell: 6.13
! Crystal system: cubic
! Energy of formation, eV/atom: -0.559
! Symmetry: F-43m
! Volume, Å³/f.u.: 101.4



# 2
! Ca2ScIr PBEsol relaxed; values from VASP
&SYSTEM
  ibrav = 0, nat = 4, ntyp = 3
/
ATOMIC_SPECIES
Sc 44.96 Sc.upf
Ca 40.08 Ca.upf
Ir 192.22 Ir.upf
ATOMIC_POSITIONS angstrom
Sc 1.6655 1.6655 6.2071
Ca 0.0000 0.0000 9.0270
Ca 1.6655 1.6655 3.0156
Ir 0.0000 0.0000 4.9100
CELL_PARAMETERS angstrom
3.3311 0.0000 0.0000
0.0000 3.3311 0.0000
0.0000 0.0000 9.2639
! Magnetic moment, μB per cell: 0.00
! D(E_F), states/eV per cell: 3.78
! Crystal system: tetragonal
! Energy of formation, eV/atom: -0.317
! Symmetry: P4mm
! Volume, Å³/f.u.: 102.8



Which value of D(E_F) does entry 1 give? 6.13 states/eV per cell